Run A
Density functional theory data (GGA+U) for an optimized crystal structure of VSnI2O.

Unit cell a=5.948 b=5.948 c=3.737 alpha=90.00 beta=90.00 gamma=90.00
Atoms (fractional coordinates):
I: 0.000 0.500 0.000
I: 0.500 0.000 0.000
Sn: 0.500 0.500 0.500
O: 0.000 0.000 0.500
V: 0.000 0.000 0.000

Theoretical density (Mg/m³): 5.52
Total moment (μB per formula unit): 2.287
Crystal system: tetragonal



Run B
Density functional theory data (GGA+U) for an optimized crystal structure of VSnI2O.

Unit cell a=6.162 b=6.162 c=4.064 alpha=90.00 beta=90.00 gamma=90.00
Atoms (fractional coordinates):
I: 0.000 0.500 0.000
I: 0.500 0.000 0.000
Sn: 0.000 0.000 0.000
O: 0.000 0.000 0.500
V: 0.500 0.500 0.500

Theoretical density (Mg/m³): 4.73
Total moment (μB per formula unit): 3.806
Crystal system: tetragonal



Question: of the structures shown, which is the least stable? Reply: run B.